Record 1
This record from the Alexandria database describes a geometry-optimized Er2AlCd structure. The functional is GGA-PBEsol.

```
Er2AlCd
1.0
5.073 0.000 0.000
2.537 4.394 0.000
2.537 1.465 4.142
Er Al Cd
2 1 1
direct
0.750 0.750 0.750
0.250 0.250 0.250
0.000 0.000 0.000
0.500 0.500 0.500
```

Results
The calculation puts the formation energy at -36 kJ per mole of atoms. As for the space-group type: Fm-3m, No. 225.

---

Record 2
This record from the Alexandria database describes a geometry-optimized Li2Mn3NiO8 structure. The functional is GGA-PBEsol.

```
Li2Mn3NiO8
1.0
5.690 0.000 0.000
2.845 4.927 0.000
2.845 1.642 4.722
O Mn Li Ni
8 3 2 1
direct
0.738 0.738 0.787
0.749 0.289 0.214
0.289 0.749 0.214
0.252 0.252 0.780
0.717 0.252 0.780
0.749 0.749 0.214
0.259 0.259 0.222
0.252 0.717 0.780
0.501 0.993 0.005
0.501 0.501 0.005
0.993 0.501 0.005
0.502 0.502 0.495
0.881 0.881 0.358
0.119 0.119 0.644
```

Results
The value obtained for the uncorrected formation energy is -1.62 eV/atom. As for the space-group type: R3m, No. 160.

---

Record 3
This record from the Alexandria database describes a geometry-optimized ZnIr2Cl structure. The functional is GGA-PBEsol.

```
ZnIr2Cl
1.0
-2.692 -0.277 0.729
0.772 -1.322 2.347
0.290 6.377 3.498
Cl Ir Zn
1 2 1
direct
0.500 0.500 0.500
0.000 0.000 0.760
0.000 0.000 0.240
0.500 0.500 0.000
```

Results
The value obtained for the uncorrected formation energy is 0.60 eV/atom. As for the space-group type: P4/mmm, No. 123.

---

Record 4
This record from the Alexandria database describes a geometry-optimized RbTe2IO structure. The functional is GGA-PBEsol.

```
RbTe2IO
1.0
-1.967 0.134 4.156
-3.877 -1.723 -1.779
2.368 -6.709 1.337
O Te Rb I
1 2 1 1
direct
0.000 0.000 0.000
0.000 0.500 0.000
0.500 0.000 0.000
0.500 0.500 0.500
0.000 0.000 0.500
```

Results
The value obtained for the uncorrected formation energy is -0.37 eV/atom. As for the space-group type: P4/mmm, No. 123.

---

Record 5
This record from the Alexandria database describes a geometry-optimized TaCrCl2 structure. The functional is GGA-PBEsol.

```
TaCrCl2
1.0
-0.304 0.669 2.853
-2.834 -0.797 -0.115
2.057 -7.601 2.002
Ta Cl Cr
1 2 1
direct
0.500 0.500 0.738
0.500 0.500 0.317
0.000 0.000 0.940
0.000 0.000 0.504
```

Results
The value obtained for the uncorrected formation energy is -0.21 eV/atom. As for the space-group type: P4mm, No. 99.

---

Record 6
This record from the Alexandria database describes a geometry-optimized SiHRu3 structure. The functional is GGA-PBEsol.

```
SiHRu3
1.0
3.799 0.000 0.000
0.000 3.799 0.000
0.000 0.000 3.799
Ru H Si
3 1 1
direct
0.000 0.500 0.000
0.000 0.000 0.500
0.500 0.000 0.000
0.000 0.000 0.000
0.500 0.500 0.500
```

Results
Its total energy is -39.54 eV/f.u. As for the space-group type: Pm-3m, No. 221.

---

Record 7
This record from the Alexandria database describes a geometry-optimized HgClO2 structure. The functional is GGA-PBEsol.

```
HgClO2
1.0
4.277 0.000 0.000
2.138 3.704 0.000
2.138 1.235 4.159
Cl Hg O
1 1 2
direct
0.500 0.500 0.500
0.000 0.000 0.000
0.159 0.159 0.522
0.841 0.841 0.478
```

Results
The value obtained for the uncorrected formation energy is 0.62 eV/atom. As for the space-group type: R-3m, No. 166.

---

Record 8
This record from the Alexandria database describes a geometry-optimized ScFe3Ag structure. The functional is GGA-PBEsol.

```
ScFe3Ag
1.0
-1.499 3.256 -2.887
-3.153 -2.917 -1.653
-2.999 1.439 3.181
Sc Fe Ag
1 3 1
direct
0.500 0.500 0.500
0.500 0.000 0.000
0.000 0.000 0.500
0.000 0.500 0.000
0.000 0.000 0.000
```

Results
The calculation puts the formation energy at 130 kJ per mole of atoms. As for the space-group type: Pm-3m, No. 221.

---

Record 9
This record from the Alexandria database describes a geometry-optimized FeCo2P structure. The functional is GGA-PBEsol.

```
FeCo2P
1.0
-1.648 -2.029 0.597
-0.479 -0.730 -3.801
4.134 -1.089 1.689
P Co Fe
1 2 1
direct
0.252 0.753 0.504
0.970 0.970 0.940
0.751 0.251 0.502
0.527 0.526 0.053
```

Results
The calculation puts the formation energy at -25 kJ per mole of atoms. As for the space-group type: Imm2, No. 44.

---

Record 10
This record from the Alexandria database describes a geometry-optimized BeTc2Se structure. The functional is GGA-PBEsol.

```
BeTc2Se
1.0
2.982 0.000 0.000
0.000 4.315 -0.006
-1.491 -1.227 4.010
Be Tc Se
1 2 1
direct
0.497 0.450 0.995
0.998 0.969 0.997
0.760 0.320 0.520
0.244 0.761 0.488
```

Results
The value obtained for the uncorrected formation energy is 0.04 eV/atom. As for the space-group type: Cm, No. 8.

---

Record 11
This record from the Alexandria database describes a geometry-optimized Li2RuF structure. The functional is GGA-PBEsol.

```
Li2RuF
1.0
-5.037 -0.532 -1.019
1.926 -2.850 3.855
1.533 4.534 1.947
Ru Li F
2 4 2
direct
0.500 0.750 0.250
0.000 0.000 0.000
0.130 0.255 0.625
0.370 0.875 0.745
0.870 0.495 0.125
0.630 0.375 0.505
0.500 0.250 0.750
0.000 0.500 0.500
```

Results
The value obtained for the uncorrected formation energy is -0.50 eV/atom. As for the space-group type: I-42d, No. 122.

---

Record 12
This record from the Alexandria database describes a geometry-optimized MoRu structure. The functional is GGA-PBEsol.

```
MoRu
1.0
2.740 0.000 0.000
0.000 2.740 0.000
0.000 0.000 3.810
Mo Ru
1 1
direct
0.000 0.000 0.500
0.500 0.500 0.000
```

Results
The calculation puts the formation energy at 6 kJ per mole of atoms. As for the space-group type: P4/mmm, No. 123.

---

Record 13
This record from the Alexandria database describes a geometry-optimized Ca2GeH2 structure. The functional is GGA-PBEsol.

```
Ca2GeH2
1.0
-2.378 1.316 2.211
-2.569 -1.377 -1.943
2.743 -5.695 3.565
Ge H Ca
1 2 2
direct
0.000 0.000 0.000
0.750 0.250 0.500
0.250 0.750 0.500
0.348 0.348 0.696
0.652 0.652 0.304
```

Results
Its total energy is -18.53 eV/f.u. As for the space-group type: I4/mmm, No. 139.

---

Record 14
This record from the Alexandria database describes a geometry-optimized Ta3HRu structure. The functional is GGA-PBEsol.

```
Ta3HRu
1.0
-3.224 0.021 -2.531
2.482 -0.783 -3.167
-0.500 -4.024 0.603
H Ru Ta
1 1 3
direct
0.000 0.000 0.000
0.500 0.500 0.500
0.500 0.000 0.000
0.000 0.000 0.500
0.000 0.500 0.000
```

Results
Its total energy is -51.03 eV/f.u. As for the space-group type: Pm-3m, No. 221.

---

Record 15
This record from the Alexandria database describes a geometry-optimized Mg2Cd2Pb structure. The functional is GGA-PBEsol.

```
Mg2Cd2Pb
1.0
-4.248 0.379 -0.544
0.507 -0.420 -4.249
1.213 -6.545 2.967
Cd Pb Mg
2 1 2
direct
0.396 0.396 0.793
0.604 0.604 0.207
0.000 0.000 0.000
0.250 0.750 0.500
0.750 0.250 0.500
```

Results
The calculation puts the formation energy at 6 kJ per mole of atoms. As for the space-group type: I4/mmm, No. 139.

---

Record 16
This record from the Alexandria database describes a geometry-optimized Te2HIr structure. The functional is GGA-PBEsol.

```
Te2HIr
1.0
-2.378 -0.741 -1.807
-0.526 -2.945 -0.720
-5.911 -2.017 5.987
Te Ir H
2 1 1
direct
0.900 0.900 0.301
0.100 0.100 0.699
0.000 0.000 0.000
0.500 0.500 0.500
```

Results
Its total energy is -17.22 eV/f.u. As for the space-group type: R-3m, No. 166.

---

Record 17
This record from the Alexandria database describes a geometry-optimized Rb2TiW3O12 structure. The functional is GGA-PBEsol.

```
Rb2TiW3O12
1.0
-2.598 4.485 4.993
-4.648 -2.601 4.840
2.156 -0.772 6.839
O Rb W Ti
12 2 3 1
direct
0.202 0.545 0.059
0.817 0.814 0.940
0.826 0.429 0.942
0.188 0.558 0.690
0.813 0.444 0.316
0.556 0.187 0.684
0.455 0.798 0.941
0.571 0.174 0.058
0.453 0.427 0.314
0.186 0.183 0.060
0.442 0.812 0.310
0.573 0.547 0.686
0.802 0.922 0.378
0.078 0.198 0.622
0.479 0.521 0.500
0.480 0.018 0.984
0.982 0.520 0.016
0.519 0.481 0.000
```

Results
The value obtained for the uncorrected formation energy is -2.35 eV/atom. As for the space-group type: C2, No. 5.

---

Record 18
This record from the Alexandria database describes a geometry-optimized CdCu2W structure. The functional is GGA-PBEsol.

```
CdCu2W
1.0
4.351 0.000 0.000
2.175 3.768 0.000
2.175 1.256 3.552
Cu Cd W
2 1 1
direct
0.000 0.000 0.000
0.750 0.750 0.750
0.500 0.500 0.500
0.250 0.250 0.250
```

Results
The calculation puts the formation energy at 74 kJ per mole of atoms. As for the space-group type: F-43m, No. 216.

---

Record 19
This record from the Alexandria database describes a geometry-optimized SbMo2Br structure. The functional is GGA-PBEsol.

```
SbMo2Br
1.0
-2.074 2.401 0.464
-1.627 -2.129 3.739
3.108 2.184 2.595
Mo Br Sb
2 1 1
direct
0.000 0.500 0.000
0.000 0.000 0.500
0.500 0.000 0.000
0.500 0.500 0.500
```

Results
The value obtained for the uncorrected formation energy is 0.59 eV/atom. As for the space-group type: P4/mmm, No. 123.

---

Record 20
This record from the Alexandria database describes a geometry-optimized Nd2MgTl structure. The functional is GGA-PBEsol.

```
Nd2MgTl
1.0
5.416 0.000 0.000
2.708 4.690 0.000
2.708 1.563 4.422
Tl Nd Mg
1 2 1
direct
0.000 0.000 0.000
0.250 0.250 0.250
0.750 0.750 0.750
0.500 0.500 0.500
```

Results
The calculation puts the formation energy at -29 kJ per mole of atoms. As for the space-group type: Fm-3m, No. 225.